The following is a DFT calculation (GGA-PBE) of a relaxed structure of LaPSeBr2.

abc: 5.0806 5.0806 5.1617
angles: 90.00 90.00 90.00
With the nearest neighbours (Å) after each atom.
Sites, in units of the cell vectors:
1 P 0.0000 0.0000 0.0000  4 Br 2.54, 2 Se 2.58
2 Se 0.0000 0.0000 0.5000  2 P 2.58
3 Br 0.0000 0.5000 0.0000  2 P 2.54
4 Br 0.5000 0.0000 0.0000  2 P 2.54
5 La 0.5000 0.5000 0.5000  4 Se 3.59, 8 Br 3.62

Summary:
Fermi-level density of states   7.14 states/eV/cell
Offset from the most stable computed form   0.000 eV per atom
Crystal system   tetragonal